No. 1
This record from Alexandria via LeMat-Bulk describes an optimized crystal structure of YAlTcO6. The functional is PBE.

POSCAR file:
```
YAlTcO6
1.0
-4.809 0.067 -1.540
2.772 -4.184 -0.558
-2.880 -3.088 8.856
O Y Tc Al
12 2 2 2
Direct
0.996 0.635 0.357
0.361 0.365 0.857
0.365 0.361 0.357
0.004 0.639 0.857
0.635 0.639 0.643
0.361 0.996 0.643
0.996 0.361 0.143
0.635 0.996 0.857
0.639 0.004 0.357
0.639 0.635 0.143
0.365 0.004 0.143
0.004 0.365 0.643
0.000 0.000 0.000
0.000 0.000 0.500
0.333 0.667 0.250
0.667 0.333 0.750
0.333 0.667 0.750
0.667 0.333 0.250
```

* ΔE_f (raw): -2.378 eV per atom
* magnetization: 0.1125 μB per atom


No. 2
This record from Alexandria via LeMat-Bulk describes an optimized crystal structure of Nd3Er4. The functional is PBE.

POSCAR file:
```
Nd3Er4
1.0
5.063 0.000 0.000
-2.532 5.664 0.163
0.000 0.920 7.955
Nd Er
3 4
Direct
0.000 0.000 0.000
0.714 0.427 0.853
0.286 0.573 0.147
0.428 0.855 0.709
0.572 0.145 0.291
0.858 0.716 0.430
0.142 0.284 0.570
```

* magnetization: 0.0000 μB per atom
* polymorph energy (0 for the lowest one): 0.000 eV per atom
* energy relative to the elements: 22 meV/atom


No. 3
This record from Alexandria via LeMat-Bulk describes an optimized crystal structure of Mg4CdRhAu2. The functional is PBE.

POSCAR file:
```
Mg4CdRhAu2
1.0
-1.939 0.394 -4.172
2.613 -0.281 -3.796
-0.886 -7.578 -2.858
Mg Au Cd Rh
4 2 1 1
Direct
0.618 0.618 0.146
0.869 0.869 0.393
0.382 0.382 0.854
0.131 0.131 0.607
0.750 0.750 0.750
0.250 0.250 0.250
0.000 0.000 0.000
0.500 0.500 0.500
```

* magnetization: 0.0000 μB per atom
* energy relative to the elements: -466 meV/atom


No. 4
This record from Alexandria via LeMat-Bulk describes an optimized crystal structure of ZnTe2. The functional is PBE.

POSCAR file:
```
ZnTe2
1.0
-2.400 1.698 3.663
-2.158 -0.661 -4.119
-2.056 -7.997 2.361
Te Zn
4 2
Direct
0.667 0.333 0.750
0.000 0.000 0.000
0.333 0.667 0.250
0.000 0.000 0.500
0.667 0.333 0.250
0.333 0.667 0.750
```

* ΔE_f (raw): 0.194 eV per atom
* magnetization: 0.0000 μB per atom


No. 5
This record from Alexandria via LeMat-Bulk describes an optimized crystal structure of Ba2HfSi2. The functional is PBE.

POSCAR file:
```
Ba2HfSi2
1.0
-3.485 -2.648 0.461
-0.369 -0.275 -4.377
2.332 -7.068 -1.965
Si Hf Ba
2 1 2
Direct
0.579 0.579 0.841
0.421 0.421 0.159
0.000 0.000 0.000
0.250 0.750 0.500
0.750 0.250 0.500
```

* ΔE_f (raw): 0.401 eV per atom
* magnetization: 0.0000 μB per atom
* polymorph energy (0 for the lowest one): 0.472 eV per atom


No. 6
This record from Alexandria via LeMat-Bulk describes an optimized crystal structure of Pr2ZnRu. The functional is PBE.

POSCAR file:
```
Pr2ZnRu
1.0
-0.055 -0.838 5.054
-0.182 -4.794 1.800
4.102 -2.028 2.305
Pr Ru Zn
2 1 1
Direct
0.250 0.250 0.250
0.750 0.750 0.750
0.500 0.500 0.500
0.000 0.000 0.000
```

* magnetization: 0.0000 μB per atom
* polymorph energy (0 for the lowest one): 0.083 eV per atom
* energy relative to the elements: -180 meV/atom


No. 7
This record from Alexandria via LeMat-Bulk describes an optimized crystal structure of Nd6HgBi2. The functional is PBE.

POSCAR file:
```
Nd6HgBi2
1.0
-0.946 -4.068 -0.851
8.257 -2.367 2.135
-6.302 0.166 6.213
Nd Bi Hg
6 2 1
Direct
0.000 0.739 0.739
0.500 0.406 0.406
0.500 0.000 0.594
0.000 0.000 0.261
0.000 0.261 0.000
0.500 0.594 0.000
0.000 0.667 0.334
0.000 0.333 0.666
0.500 0.000 0.000
```

* magnetization: 0.0013 μB per atom
* energy relative to the elements: -517 meV/atom


No. 8
This record from Alexandria via LeMat-Bulk describes an optimized crystal structure of Mg2MnAu6. The functional is PBE.

POSCAR file:
```
Mg2MnAu6
1.0
-0.603 -4.406 -1.890
6.973 0.454 -3.283
-1.381 0.141 6.165
Au Mg Mn
6 2 1
Direct
0.837 0.147 0.672
0.837 0.525 0.672
0.163 0.853 0.328
0.500 0.185 0.000
0.500 0.815 0.000
0.163 0.475 0.328
0.671 0.672 0.344
0.329 0.328 0.656
0.000 0.000 0.000
```

* magnetization: 0.4658 μB per atom
* polymorph energy (0 for the lowest one): 0.115 eV per atom
* energy relative to the elements: -201 meV/atom


No. 9
This record from Alexandria via LeMat-Bulk describes an optimized crystal structure of BeCdCo2. The functional is PBE.

POSCAR file:
```
BeCdCo2
1.0
-0.967 0.161 4.751
-3.323 -3.147 1.606
4.307 0.549 -2.162
Be Co Cd
1 2 1
Direct
0.521 0.521 0.000
0.982 0.982 0.000
0.735 0.235 0.500
0.262 0.762 0.500
```

* magnetization: 0.6534 μB per atom
* polymorph energy (0 for the lowest one): 0.202 eV per atom
* energy relative to the elements: 295 meV/atom


No. 10
This record from Alexandria via LeMat-Bulk describes an optimized crystal structure of Hg2PH. The functional is PBE.

POSCAR file:
```
Hg2PH
1.0
5.036 0.000 0.000
0.000 5.036 0.000
2.518 2.518 6.304
P Hg H
2 4 2
Direct
0.000 0.000 0.000
0.750 0.250 0.500
0.574 0.125 0.250
0.875 0.824 0.750
0.176 0.625 0.250
0.375 0.426 0.750
0.250 0.750 0.500
0.500 0.500 0.000
```

* magnetization: 0.0000 μB per atom
* polymorph energy (0 for the lowest one): 0.000 eV per atom


No. 11
This record from Alexandria via LeMat-Bulk describes an optimized crystal structure of Y2NiPt. The functional is PBE.

POSCAR file:
```
Y2NiPt
1.0
-2.050 -3.392 -0.667
1.370 -2.694 -2.649
3.145 -5.006 3.663
Y Ni Pt
2 1 1
Direct
0.997 0.997 0.008
0.503 0.503 0.492
0.250 0.250 0.250
0.750 0.750 0.750
```

* magnetization: 0.0000 μB per atom
* energy relative to the elements: -630 meV/atom


No. 12
This record from Alexandria via LeMat-Bulk describes an optimized crystal structure of YLuTh2. The functional is PBE.

POSCAR file:
```
YLuTh2
1.0
5.633 0.000 0.000
2.817 4.878 0.000
2.817 1.626 4.599
Th Y Lu
2 1 1
Direct
0.750 0.750 0.750
0.250 0.250 0.250
0.500 0.500 0.500
0.000 0.000 0.000
```

* magnetization: 0.0003 μB per atom
* polymorph energy (0 for the lowest one): 0.087 eV per atom
* energy relative to the elements: 127 meV/atom


No. 13
This record from Alexandria via LeMat-Bulk describes an optimized crystal structure of TbMgTlPb. The functional is PBE.

POSCAR file:
```
TbMgTlPb
1.0
-1.159 2.023 4.808
1.262 -2.724 4.420
3.923 1.741 3.183
Tb Pb Tl Mg
1 1 1 1
Direct
0.250 0.250 0.250
0.500 0.500 0.500
0.000 0.000 0.000
0.750 0.750 0.750
```

* magnetization: 0.0000 μB per atom
* polymorph energy (0 for the lowest one): 0.123 eV per atom
* energy relative to the elements: -196 meV/atom


No. 14
This record from Alexandria via LeMat-Bulk describes an optimized crystal structure of TlAgTe. The functional is PBE.

POSCAR file:
```
TlAgTe
1.0
4.931 0.000 0.000
0.000 8.048 0.000
0.000 0.000 8.725
Ag Tl Te
4 4 4
Direct
0.750 0.087 0.331
0.250 0.587 0.169
0.750 0.413 0.831
0.250 0.913 0.669
0.250 0.318 0.488
0.250 0.182 0.988
0.750 0.818 0.012
0.750 0.682 0.512
0.750 0.097 0.687
0.750 0.403 0.187
0.250 0.597 0.813
0.250 0.903 0.313
```

* ΔE_f (raw): -0.211 eV per atom
* magnetization: 0.0000 μB per atom
* polymorph energy (0 for the lowest one): 0.000 eV per atom


No. 15
This record from Alexandria via LeMat-Bulk describes an optimized crystal structure of KHfZrBi2. The functional is PBE.

POSCAR file:
```
KHfZrBi2
1.0
5.610 0.000 0.000
0.000 4.876 0.000
0.000 0.000 5.610
K Zr Hf Bi
1 1 1 2
Direct
0.000 0.000 0.000
0.500 0.500 0.500
0.000 0.500 0.000
0.000 0.000 0.500
0.500 0.000 0.000
```

* magnetization: 0.0000 μB per atom
* energy relative to the elements: 1726 meV/atom


No. 16
This record from Alexandria via LeMat-Bulk describes an optimized crystal structure of GeBiP. The functional is PBE.

POSCAR file:
```
GeBiP
1.0
-0.587 -3.526 -0.147
2.408 1.319 2.294
-4.499 0.566 4.397
P Ge Bi
1 1 1
Direct
0.333 0.667 0.601
0.667 0.333 0.408
0.000 0.000 0.991
```

* magnetization: 0.0000 μB per atom
* polymorph energy (0 for the lowest one): 0.000 eV per atom
* energy relative to the elements: 166 meV/atom


No. 17
This record from Alexandria via LeMat-Bulk describes an optimized crystal structure of KNpGeBr6. The functional is PBE.

POSCAR file:
```
KNpGeBr6
1.0
-4.993 -0.973 -5.455
3.110 -5.917 3.308
-10.600 -0.134 9.726
Br K Np Ge
12 2 2 2
Direct
0.006 0.371 0.638
0.994 0.629 0.362
0.371 0.364 0.362
0.006 0.636 0.862
0.364 0.371 0.862
0.629 0.994 0.862
0.364 0.994 0.638
0.371 0.006 0.138
0.629 0.636 0.638
0.636 0.006 0.362
0.994 0.364 0.138
0.636 0.629 0.138
0.000 0.000 0.000
0.000 0.000 0.500
0.667 0.333 0.750
0.333 0.667 0.250
0.667 0.333 0.250
0.333 0.667 0.750
```

* ΔE_f (raw): -1.173 eV per atom
* magnetization: 0.4444 μB per atom


No. 18
This record from Alexandria via LeMat-Bulk describes an optimized crystal structure of Cs3KP2S6. The functional is PBE.

POSCAR file:
```
Cs3KP2S6
1.0
7.560 0.000 0.000
-3.780 6.548 0.000
0.000 0.000 9.536
S P Cs K
6 2 3 1
Direct
0.183 0.366 0.285
0.183 0.817 0.285
0.817 0.183 0.715
0.817 0.634 0.715
0.634 0.817 0.285
0.366 0.183 0.715
0.667 0.333 0.768
0.333 0.667 0.232
0.000 0.000 0.000
0.333 0.667 0.648
0.667 0.333 0.352
0.000 0.000 0.500
```

* ΔE_f (raw): -0.822 eV per atom
* magnetization: 0.1675 μB per atom


No. 19
This record from Alexandria via LeMat-Bulk describes an optimized crystal structure of ZrZn11Pt. The functional is PBE.

POSCAR file:
```
ZrZn11Pt
1.0
4.784 0.057 1.993
2.404 6.229 1.001
-0.004 0.029 6.747
Zn Zr Pt
11 1 1
Direct
0.360 0.650 0.650
0.000 0.500 0.000
0.640 0.350 0.350
0.286 0.209 0.212
0.500 0.000 0.500
0.000 0.000 0.500
0.010 0.650 0.350
0.990 0.350 0.650
0.502 0.791 0.212
0.714 0.791 0.788
0.498 0.209 0.788
0.000 0.000 0.000
0.500 0.500 0.000
```

* magnetization: 0.0000 μB per atom
* energy relative to the elements: -203 meV/atom


No. 20
This record from Alexandria via LeMat-Bulk describes an optimized crystal structure of Nd3Y2Hg3. The functional is PBE.

POSCAR file:
```
Nd3Y2Hg3
1.0
3.799 0.000 0.000
0.000 5.482 0.000
-1.899 -2.741 11.246
Nd Hg Y
3 3 2
Direct
0.378 0.378 0.757
0.622 0.622 0.243
0.500 0.000 0.000
0.123 0.123 0.246
0.000 0.500 0.000
0.877 0.877 0.754
0.733 0.233 0.466
0.267 0.767 0.534
```

* magnetization: 0.1136 μB per atom
* energy relative to the elements: -356 meV/atom